[1]
A plane-wave DFT calculation with PBE was carried out for an optimized crystal structure of Ba2MgZr.

Results
**V**: 614 Å³ per cell
**E_tot**: -44.62 eV per cell
**Total moment**: 7.9 μB per cell
**ΔH_f (0 K)**: 68.3 kJ/mol of atoms

```
16
Lattice="9.435 0.000 0.000 0.000 9.435 0.000 0.000 0.000 6.899" Properties=species:S:1:pos:R:3 pbc="T T T"
Ba 2.323 7.076 0.862
Ba 2.359 2.323 6.037
Ba 2.359 2.394 2.587
Ba 2.394 7.076 4.312
Ba 7.041 2.359 4.312
Ba 7.076 7.041 2.587
Ba 7.076 7.111 6.037
Ba 7.111 2.359 0.862
Mg 0.000 0.000 0.000
Mg 0.000 4.717 1.725
Mg 4.717 0.000 5.174
Mg 4.717 4.717 3.449
Zr 0.000 0.000 3.449
Zr 0.000 4.717 5.174
Zr 4.717 0.000 1.725
Zr 4.717 4.717 0.000
```

[2]
A plane-wave DFT calculation with PBE was carried out for an optimized crystal structure of TmTlCl4.

Results
**V**: 202 Å³ per cell
**E_tot**: -25.32 eV per cell
**Total moment**: 0.0 μB per cell

```
6
Lattice="4.051 0.000 0.000 -2.008 6.312 0.000 -0.002 -2.178 7.917" Properties=species:S:1:pos:R:3 pbc="T T T"
Tm 0.000 0.000 0.000
Tl 2.025 -1.089 3.958
Cl -0.002 0.830 2.425
Cl 0.018 4.680 0.616
Cl 2.024 -0.546 7.300
Cl 2.043 3.303 5.492
```

[3]
A plane-wave DFT calculation with PBE was carried out for an optimized crystal structure of Pm5Sc4Pt4.

Results
**V**: 323 Å³ per cell
**E_tot**: -83.36 eV per cell
**Total moment**: 0.0 μB per cell
**ΔH_f (0 K)**: -75.1 kJ/mol of atoms

```
13
Lattice="-6.371 6.371 1.986 6.371 -6.371 1.986 6.371 6.371 -1.986" Properties=species:S:1:pos:R:3 pbc="T T T"
Pm 0.000 0.000 0.000
Pm 8.060 3.975 0.000
Pm 3.975 4.681 0.000
Pm 2.396 1.689 1.986
Pm -1.689 2.396 1.986
Sc 5.220 1.394 0.000
Sc 4.977 -1.151 1.986
Sc 1.394 7.522 0.000
Sc 1.151 4.977 1.986
Pt 9.502 0.655 0.000
Pt 0.655 3.239 0.000
Pt 5.716 3.132 1.986
Pt -3.132 5.716 1.986
```

[4]
A plane-wave DFT calculation with PBE was carried out for an optimized crystal structure of TaMo3.

Results
**V**: 135 Å³ per cell
**E_tot**: -85.83 eV per cell
**Total moment**: 0.0 μB per cell
**ΔH_f (0 K)**: 34.5 kJ/mol of atoms

```
8
Lattice="5.570 0.000 0.000 -2.785 4.824 0.000 0.000 0.000 5.009" Properties=species:S:1:pos:R:3 pbc="T T T"
Ta 0.000 3.216 1.252
Ta 2.785 1.608 3.757
Mo 0.000 1.599 3.757
Mo -1.401 4.025 3.757
Mo 1.384 0.799 1.252
Mo 1.401 4.025 3.757
Mo 4.186 0.799 1.252
Mo 2.785 3.225 1.252
```

[5]
A plane-wave DFT calculation with PBE was carried out for an optimized crystal structure of Li5Hg6.

Results
**V**: 231 Å³ per cell
**E_tot**: -14.04 eV per cell
**Total moment**: 0.0 μB per cell
**ΔH_f (0 K)**: -23.3 kJ/mol of atoms

```
11
Lattice="3.316 -5.561 0.000 3.316 5.561 0.000 -2.060 0.000 6.275" Properties=species:S:1:pos:R:3 pbc="T T T"
Li 0.000 0.000 0.000
Li 2.286 3.971 3.138
Li 3.316 2.481 0.000
Li 3.316 -2.481 0.000
Li 2.286 -3.971 3.138
Hg 1.421 1.570 1.882
Hg 0.412 0.000 4.898
Hg 1.421 -1.570 1.882
Hg 3.150 1.570 4.393
Hg 4.159 0.000 1.378
Hg 3.150 -1.570 4.393
```

[6]
A plane-wave DFT calculation with PBE was carried out for an optimized crystal structure of KAl2VCl8.

Results
**V**: 332 Å³ per cell
**E_tot**: -48.46 eV per cell
**Total moment**: 4.0 μB per cell

```
12
Lattice="3.191 1.842 9.409 -3.191 1.842 9.409 0.000 -3.685 9.409" Properties=species:S:1:pos:R:3 pbc="T T T"
K 0.000 0.000 0.000
Al 0.000 0.000 6.949
Al 0.000 0.000 21.279
V 0.000 0.000 14.114
Cl -1.118 -1.815 12.534
Cl -2.131 0.061 15.694
Cl 0.000 0.000 9.114
Cl -1.013 1.876 12.534
Cl 1.013 -1.876 15.694
Cl 0.000 0.000 19.114
Cl 2.131 -0.061 12.534
Cl 1.118 1.815 15.694
```

[7]
A plane-wave DFT calculation with PBE was carried out for an optimized crystal structure of TiIr3Os.

Results
**V**: 104 Å³ per cell
**E_tot**: -37.92 eV per cell
**Total moment**: 0.0 μB per cell
**ΔH_f (0 K)**: 150.2 kJ/mol of atoms

```
5
Lattice="4.707 0.000 0.000 0.000 4.707 0.000 0.000 0.000 4.707" Properties=species:S:1:pos:R:3 pbc="T T T"
Ti 0.000 0.000 0.000
Ir 0.000 2.354 2.354
Ir 2.354 0.000 2.354
Ir 2.354 2.354 0.000
Os 2.354 2.354 2.354
```

[8]
A plane-wave DFT calculation with PBE was carried out for an optimized crystal structure of ZnBiRh.

Results
**V**: 243 Å³ per cell
**E_tot**: -52.30 eV per cell
**Total moment**: 0.0 μB per cell
**ΔH_f (0 K)**: -18.3 kJ/mol of atoms

```
12
Lattice="8.873 0.000 0.000 0.000 4.406 0.000 0.000 0.000 6.206" Properties=species:S:1:pos:R:3 pbc="T T T"
Zn 1.466 1.101 1.190
Zn 2.970 3.304 4.292
Zn 5.902 1.101 1.913
Zn 7.407 3.304 5.016
Bi 0.905 1.101 4.242
Bi 3.532 3.304 1.139
Bi 5.341 1.101 5.067
Bi 7.968 3.304 1.964
Rh 0.963 3.304 5.968
Rh 3.474 1.101 2.865
Rh 5.399 3.304 3.341
Rh 7.910 1.101 0.238
```